# 1
This record from the Alexandria database describes crystalline ZrSiSe2 at its relaxed geometry. The functional is PBE.

abc: 8.952 8.952 8.952
angles: 23.24 23.24 23.24
Element x y z (fractional)
Zr (0.000, 0.000, 0.000)
Si (0.500, 0.500, 0.500)
Se (0.399, 0.399, 0.399)
Se (0.601, 0.601, 0.601)

Space group: R-3m, No. 166
M_tot (μB per cell): 0.00
Raw formation energy (eV/atom): -0.509
Density of states at the Fermi level (states/eV per cell): 2.211

***

# 2
This record from the Alexandria database describes crystalline Zr2Sb2Pb at its relaxed geometry. The functional is PBE.

abc: 8.009 8.009 3.851
angles: 90.00 90.00 90.00
Element x y z (fractional)
Zr (0.147, 0.353, 0.000)
Zr (0.353, 0.853, 0.000)
Zr (0.647, 0.147, 0.000)
Zr (0.853, 0.647, 0.000)
Sb (0.148, 0.648, 0.500)
Sb (0.352, 0.148, 0.500)
Sb (0.648, 0.852, 0.500)
Sb (0.852, 0.352, 0.500)
Pb (0.000, 0.000, 0.000)
Pb (0.500, 0.500, 0.000)

Space group: P4/mbm, No. 127
M_tot (μB per cell): 0.00
Raw formation energy (eV/atom): -0.440
Density of states at the Fermi level (states/eV per cell): 6.267

***

# 3
This record from the Alexandria database describes crystalline K3CaAs2O6 at its relaxed geometry. The functional is PBE.

abc: 6.045 6.045 7.087
angles: 90.00 90.00 120.00
Element x y z (fractional)
K (0.000, 0.000, 0.000)
K (0.333, 0.667, 0.664)
K (0.667, 0.333, 0.336)
Ca (0.000, 0.000, 0.500)
As (0.333, 0.667, 0.200)
As (0.667, 0.333, 0.800)
O (0.179, 0.358, 0.300)
O (0.179, 0.821, 0.300)
O (0.358, 0.179, 0.700)
O (0.642, 0.821, 0.300)
O (0.821, 0.179, 0.700)
O (0.821, 0.642, 0.700)

Space group: P-3m1, No. 164
M_tot (μB per cell): 1.02
Raw formation energy (eV/atom): -1.790
Density of states at the Fermi level (states/eV per cell): 4.712

***

# 4
This record from the Alexandria database describes crystalline CdRhWN2 at its relaxed geometry. The functional is PBE.

abc: 3.925 3.925 5.204
angles: 90.00 90.00 90.00
Element x y z (fractional)
Cd (0.000, 0.000, 0.000)
Rh (0.500, 0.500, 0.000)
W (0.500, 0.500, 0.500)
N (0.000, 0.500, 0.500)
N (0.500, 0.000, 0.500)

Space group: P4/mmm, No. 123
M_tot (μB per cell): 0.00
Raw formation energy (eV/atom): 0.576
Density of states at the Fermi level (states/eV per cell): 3.085

***

# 5
This record from the Alexandria database describes crystalline Ba2AgBBr at its relaxed geometry. The functional is PBE.

abc: 6.223 6.223 4.473
angles: 90.00 90.00 90.00
Element x y z (fractional)
Ba (0.000, 0.500, 0.000)
Ba (0.500, 0.000, 0.000)
Ag (0.000, 0.000, 0.500)
B (0.500, 0.500, 0.500)
Br (0.500, 0.500, 0.000)

Space group: P4/mmm, No. 123
M_tot (μB per cell): 0.00
Raw formation energy (eV/atom): 0.305
Density of states at the Fermi level (states/eV per cell): 3.602

***

# 6
This record from the Alexandria database describes crystalline PmTmAlZn at its relaxed geometry. The functional is PBE.

abc: 5.116 5.116 5.116
angles: 60.00 60.00 60.00
Element x y z (fractional)
Pm (0.000, 0.000, 0.000)
Tm (0.500, 0.500, 0.500)
Al (0.750, 0.750, 0.750)
Zn (0.250, 0.250, 0.250)

Calculated total energy (eV per formula unit): -15.651
Space group: F-43m, No. 216
M_tot (μB per cell): 0.00
Density of states at the Fermi level (states/eV per cell): 3.019

***

# 7
This record from the Alexandria database describes crystalline ErAlRu2 at its relaxed geometry. The functional is PBE.

abc: 3.213 3.213 6.377
angles: 90.00 90.00 90.00
Element x y z (fractional)
Er (0.000, 0.000, 0.000)
Al (0.000, 0.000, 0.500)
Ru (0.500, 0.500, 0.283)
Ru (0.500, 0.500, 0.717)

Calculated total energy (eV per formula unit): -28.583
Space group: P4/mmm, No. 123
M_tot (μB per cell): 0.00
Density of states at the Fermi level (states/eV per cell): 5.225

***

# 8
This record from the Alexandria database describes crystalline LiZrRe2 at its relaxed geometry. The functional is PBE.

abc: 2.749 4.394 5.480
angles: 90.00 101.24 90.00
Element x y z (fractional)
Li (0.000, 0.000, 0.000)
Zr (0.313, 0.500, 0.755)
Re (0.603, 0.000, 0.453)
Re (0.850, 0.500, 0.264)

Calculated total energy (eV per formula unit): -34.899
Space group: Pm, No. 6
M_tot (μB per cell): 0.00
Density of states at the Fermi level (states/eV per cell): 2.786

***

# 9
This record from the Alexandria database describes crystalline SrSb2I at its relaxed geometry. The functional is PBE.

abc: 14.023 14.023 14.023
angles: 160.92 160.92 27.11
Element x y z (fractional)
Sr (0.000, 0.000, 0.000)
Sr (0.750, 0.250, 0.500)
Sb (0.064, 0.625, 0.939)
Sb (0.375, 0.314, 0.439)
Sb (0.686, 0.125, 0.061)
Sb (0.875, 0.936, 0.561)
I (0.250, 0.750, 0.500)
I (0.500, 0.500, 0.000)

Space group: I-42d, No. 122
M_tot (μB per cell): 0.00
Raw formation energy (eV/atom): -0.625
Density of states at the Fermi level (states/eV per cell): 3.194

***

# 10
This record from the Alexandria database describes crystalline Pm4GeP2H at its relaxed geometry. The functional is PBE.

abc: 7.006 7.006 13.977
angles: 90.00 90.00 145.94
Element x y z (fractional)
Pm (0.000, 0.000, 0.000)
Pm (0.000, 0.000, 0.500)
Pm (0.271, 0.729, 0.622)
Pm (0.271, 0.729, 0.878)
Pm (0.445, 0.555, 0.250)
Pm (0.555, 0.445, 0.750)
Pm (0.729, 0.271, 0.122)
Pm (0.729, 0.271, 0.378)
Ge (0.110, 0.890, 0.250)
Ge (0.890, 0.110, 0.750)
P (0.364, 0.636, 0.061)
P (0.364, 0.636, 0.439)
P (0.636, 0.364, 0.561)
P (0.636, 0.364, 0.939)
H (0.154, 0.846, 0.750)
H (0.846, 0.154, 0.250)

Calculated total energy (eV per formula unit): -46.951
Space group: Cmcm, No. 63
M_tot (μB per cell): 0.00
Density of states at the Fermi level (states/eV per cell): 7.674

***

# 11
This record from the Alexandria database describes crystalline Na3Ce2AuSe6 at its relaxed geometry. The functional is PBE.

abc: 7.146 7.146 7.419
angles: 99.69 99.69 118.76
Element x y z (fractional)
Na (0.000, 0.000, 0.000)
Na (0.339, 0.661, 0.000)
Na (0.661, 0.339, 0.000)
Ce (0.168, 0.832, 0.500)
Ce (0.832, 0.168, 0.500)
Au (0.500, 0.500, 0.500)
Se (0.087, 0.421, 0.270)
Se (0.230, 0.230, 0.737)
Se (0.421, 0.087, 0.270)
Se (0.579, 0.913, 0.730)
Se (0.770, 0.770, 0.263)
Se (0.913, 0.579, 0.730)

Space group: C2/m, No. 12
M_tot (μB per cell): 0.24
Raw formation energy (eV/atom): -1.228
Density of states at the Fermi level (states/eV per cell): 0.789

***

# 12
This record from the Alexandria database describes crystalline NaH2Rh at its relaxed geometry. The functional is PBE.

abc: 5.528 5.528 5.528
angles: 131.72 131.72 70.67
Element x y z (fractional)
Na (0.000, 0.000, 0.000)
Na (0.750, 0.250, 0.500)
H (0.240, 0.625, 0.115)
H (0.375, 0.490, 0.615)
H (0.510, 0.125, 0.885)
H (0.875, 0.760, 0.385)
Rh (0.250, 0.750, 0.500)
Rh (0.500, 0.500, 0.000)

Calculated total energy (eV per formula unit): -15.594
Space group: I-42d, No. 122
M_tot (μB per cell): 0.00
Density of states at the Fermi level (states/eV per cell): 1.910